Computed, not measured: La2PtO6 after structural relaxation at the PBE level of DFT.

Unit cell a=3.7985 b=5.6313 c=11.4335 alpha=90.00 beta=90.00 gamma=90.00
With the nearest neighbours (Å) after each atom.
Space group Immm (No. 71)
Asymmetric unit:
La 0.0000 0.0000 0.1681 [4 per cell]  8 O 2.45-2.55
Pt 0.0000 0.0000 0.5000 [2 per cell]  8 O 2.10-2.21
O 0.0000 0.2281 0.3545 [8 per cell]  1 Pt 2.10
O 0.0000 0.2979 0.0000 [4 per cell]  2 Pt 2.21, 1 O 2.28

- DOS(E_F): 0.279 states/eV/atom
- Raw formation energy: -1.8563 eV/atom
- E_tot: -6.928 eV/atom